First-principles (PBE-GGA) data for a relaxed NbFePd crystal, as listed in Alexandria.

## Properties
Offset from the most stable computed form ... 78.8 meV/atom
E_form ... -0.01 eV per atom

a b c (Å): 2.686 4.433 4.433
angles (deg): 120.00 90.00 90.00
Last column: magnetic moment on the atom in μB.
Atoms (fractional coordinates):
Nb  0.666  0.333  0.667  -0.40
Fe  0.167  0.000  0.000  2.54
Pd  0.167  0.667  0.333  0.14


First-principles (PBE-GGA) data for a relaxed ScRu3 crystal, as listed in Alexandria.

## Properties
E_form ... -0.07 eV per atom

a b c (Å): 4.751 4.751 2.815
angles (deg): 90.00 90.00 108.28
Atoms (fractional coordinates):
Sc  0.500  0.500  0.000
Ru  0.000  0.500  0.500
Ru  0.500  0.000  0.500
Ru  0.000  0.000  0.000


First-principles (PBE-GGA) data for a relaxed KRb3F3 crystal, as listed in Alexandria.

## Properties
E_form (uncorrected) ... -2.1523 eV per atom

a b c (Å): 7.538 7.538 8.490
angles (deg): 83.05 83.05 107.50
Atoms (fractional coordinates):
Rb  0.188  0.812  0.500
Rb  0.812  0.188  0.500
F  0.040  0.040  0.683
Rb  0.750  0.250  0.000
Rb  0.250  0.750  0.000
K  0.750  0.750  0.779
F  0.960  0.960  0.317
F  0.558  0.262  0.318
F  0.262  0.558  0.318
Rb  0.657  0.657  0.333
F  0.738  0.442  0.682
K  0.250  0.250  0.221
Rb  0.343  0.343  0.667
F  0.442  0.738  0.682


First-principles (PBE-GGA) data for a relaxed CoIr4 crystal, as listed in Alexandria.

## Properties
Offset from the most stable computed form ... 0.0 meV/atom
E_form ... 0.00 eV per atom

a b c (Å): 6.028 6.028 4.671
angles (deg): 49.82 49.82 90.00
Last column: magnetic moment on the atom in μB.
Atoms (fractional coordinates):
Ir  0.602  0.202  0.000  0.09
Ir  0.202  0.398  0.000  0.09
Ir  0.798  0.602  0.000  0.09
Co  0.000  0.000  0.000  1.41
Ir  0.398  0.798  0.000  0.09


First-principles (PBE-GGA) data for a relaxed Ba3CePa3N8 crystal, as listed in Alexandria.

## Properties
E_form (uncorrected) ... -1.2701 eV per atom

a b c (Å): 7.246 7.248 7.685
angles (deg): 118.15 90.00 120.00
Atoms (fractional coordinates):
N  0.774  0.549  0.338
N  0.289  0.064  0.338
N  0.226  0.451  0.662
Pa  0.000  0.500  0.500
Pa  0.500  0.000  0.500
N  0.774  0.064  0.338
Ba  0.500  0.500  0.000
Pa  0.500  0.500  0.500
Ba  0.000  0.000  0.000
Ba  0.000  0.500  0.000
N  0.711  0.936  0.662
Ce  0.000  0.000  0.500
N  0.226  0.936  0.662
N  0.272  0.545  0.317
N  0.728  0.455  0.683


First-principles (PBE-GGA) data for a relaxed MnFe3Co crystal, as listed in Alexandria.

## Properties
Offset from the most stable computed form ... 1225.0 meV/atom
E_form ... 1.28 eV per atom

a b c (Å): 4.136 4.136 4.136
angles (deg): 90.00 90.00 90.00
Last column: magnetic moment on the atom in μB.
Atoms (fractional coordinates):
Mn  0.000  0.000  0.000  -0.43
Fe  0.000  0.000  0.500  1.86
Fe  0.500  0.000  0.000  1.74
Fe  0.000  0.500  0.000  1.94
Co  0.500  0.500  0.500  1.87


First-principles (PBE-GGA) data for a relaxed La3Sm4Tl crystal, as listed in Alexandria.

## Properties
E_form ... -0.08 eV per atom

a b c (Å): 5.013 10.267 10.287
angles (deg): 90.00 90.00 90.00
Atoms (fractional coordinates):
La  0.564  0.384  0.750
La  0.564  0.384  0.250
La  0.064  0.616  0.250
La  0.564  0.624  0.000
Sm  0.564  0.875  0.255
La  0.064  0.376  0.500
Sm  0.064  0.125  0.245
Sm  0.564  0.126  0.000
Sm  0.064  0.874  0.500
Tl  0.064  0.367  0.000
Sm  0.564  0.875  0.745
Sm  0.064  0.125  0.755
Tl  0.564  0.633  0.500
Sm  0.564  0.126  0.500
Sm  0.064  0.874  0.000
La  0.064  0.616  0.750


First-principles (PBE-GGA) data for a relaxed Tb7InCo2 crystal, as listed in Alexandria.

## Properties
E_form ... -0.04 eV per atom

a b c (Å): 4.957 8.029 8.029
angles (deg): 112.38 90.00 90.00
Atoms (fractional coordinates):
Tb  0.500  0.500  0.500
Tb  0.500  0.686  0.948
Tb  0.500  0.314  0.052
Co  0.500  0.298  0.702
Tb  0.500  0.948  0.686
In  0.000  0.000  0.000
Tb  0.000  0.708  0.292
Tb  0.500  0.052  0.314
Co  0.500  0.702  0.298
Tb  0.000  0.292  0.708


First-principles (PBE-GGA) data for a relaxed Cs2HgCl crystal, as listed in Alexandria.

## Properties
E_form (uncorrected) ... -1.0088 eV per atom
Offset from the most stable computed form ... 63.6 meV/atom

a b c (Å): 4.366 4.366 9.180
angles (deg): 90.00 90.00 90.00
Atoms (fractional coordinates):
Hg  0.500  0.500  0.500
Cl  0.500  0.500  0.000
Cs  0.000  0.000  0.221
Cs  0.000  0.000  0.779


First-principles (PBE-GGA) data for a relaxed RbTeIrCl2 crystal, as listed in Alexandria.

## Properties
E_form (uncorrected) ... 1.1606 eV per atom

a b c (Å): 5.835 5.835 5.541
angles (deg): 90.00 90.00 90.00
Last column: magnetic moment on the atom in μB.
Atoms (fractional coordinates):
Te  0.500  0.500  0.500  1.06
Cl  0.000  0.500  0.000  0.21
Ir  0.000  0.000  0.500  1.74
Rb  0.000  0.000  0.000  0.00
Cl  0.500  0.000  0.000  0.21


First-principles (PBE-GGA) data for a relaxed ZnNiBr2 crystal, as listed in Alexandria.

## Properties
E_form (uncorrected) ... -0.1735 eV per atom
Offset from the most stable computed form ... 99.2 meV/atom

a b c (Å): 7.963 7.963 7.963
angles (deg): 27.51 27.51 27.51
Atoms (fractional coordinates):
Ni  0.496  0.496  0.496
Br  0.033  0.033  0.033
Br  0.206  0.206  0.206
Zn  0.765  0.765  0.765


First-principles (PBE-GGA) data for a relaxed Pm4Er3Th crystal, as listed in Alexandria.

## Properties
Offset from the most stable computed form ... 0.0 meV/atom
E_form ... 0.04 eV per atom

a b c (Å): 6.275 7.313 11.523
angles (deg): 90.00 90.00 90.00
Atoms (fractional coordinates):
Er  0.975  0.617  0.750
Er  0.475  0.383  0.750
Er  0.475  0.383  0.250
Pm  0.491  0.871  0.749
Er  0.149  0.381  0.500
Pm  0.146  0.865  0.500
Er  0.649  0.619  0.000
Pm  0.491  0.871  0.251
Th  0.647  0.619  0.500
Pm  0.141  0.866  0.000
Er  0.975  0.617  0.250
Th  0.147  0.381  0.000
Pm  0.991  0.129  0.751
Pm  0.641  0.134  0.500
Pm  0.646  0.135  0.000
Pm  0.991  0.129  0.249


Number 1: DOS at the Fermi energy 1.426 states/eV per atom. Number 2: DOS at the Fermi energy 1.094 states/eV per atom. Number 3: DOS at the Fermi energy 0.218 states/eV per atom. Number 4: DOS at the Fermi energy 1.162 states/eV per atom. Number 5: DOS at the Fermi energy 0.154 states/eV per atom. Number 6: DOS at the Fermi energy 1.427 states/eV per atom. Number 7: DOS at the Fermi energy 1.283 states/eV per atom. Number 8: DOS at the Fermi energy 0.762 states/eV per atom. Number 9: DOS at the Fermi energy 0.582 states/eV per atom. Number 10: DOS at the Fermi energy 1.274 states/eV per atom. Number 11: DOS at the Fermi energy 0.519 states/eV per atom. Number 12: DOS at the Fermi energy 1.846 states/eV per atom.